1.
This record from the Alexandria database describes a crystal of YGeTe2Ru relaxed with PBEsol. The functional is meta-GGA SCAN.

Output
- DOS(E_F): 2.4 states/eV/cell
- Total energy: -152.0 eV for the cell shown
- Calculated volume: 30.91 Å³ per atom
- ΔE_f (raw): 0.842 eV/atom
- Magnetization: 1.44 μB per formula unit

Lattice parameters (Å, degrees): 5.7099 5.7099 4.7411 90.00 90.00 90.00
Atoms (fractional coordinates):
1 Y 0.0000 0.0000 0.0000
2 Ge 0.5000 0.5000 0.5000
3 Te 0.0000 0.5000 0.0000
4 Te 0.5000 0.0000 0.0000
5 Ru 0.0000 0.0000 0.5000


2.
This record from the Alexandria database describes a crystal of ThGe2Ru2 relaxed with PBEsol. The functional is meta-GGA SCAN.

Output
- DOS(E_F): 2.3 states/eV/cell
- Total energy: -207.7 eV for the cell shown
- ΔE_f: -799 meV per atom
- Calculated volume: 17.81 Å³ per atom
- Magnetization: 0.00 μB per formula unit

Lattice parameters (Å, degrees): 5.7807 5.7807 5.7807 136.91 136.91 62.58
Atoms (fractional coordinates):
1 Th 0.0000 0.0000 0.0000
2 Ge 0.3700 0.3700 0.0000
3 Ge 0.6300 0.6300 0.0000
4 Ru 0.2500 0.7500 0.5000
5 Ru 0.7500 0.2500 0.5000